# KLi2Sc PBE optimized geometry
data_KLi2Sc
_space_group_name_H-M_alt 'I -4 m 2'
_space_group_IT_number 119
_space_group_name_Hall 'I -4 -2'
_cell_length_a 4.623
_cell_length_b 4.623
_cell_length_c 11.223
_cell_angle_alpha 90.00
_cell_angle_beta 90.00
_cell_angle_gamma 90.00
loop_
_atom_site_label
_atom_site_fract_x
_atom_site_fract_y
_atom_site_fract_z
K1 0.000 0.000 0.000
Li1 0.000 0.000 0.500
Li2 0.000 0.500 0.750
Sc1 0.000 0.500 0.250
# - relative energy among the computed polymorphs (meV/atom) = 233
# - total moment (μB per atom) = 0.199
# - energy (eV/atom) = -2.293